Density functional theory data (SCAN) for a PBEsol-optimized structure of ScSi2PRu.

Cell lengths 4.547, 4.547, 4.257 Å; angles 90.00, 90.00, 90.00 degrees
Space group P4/mmm (No. 123)
Unique sites:
Sc (0.000, 0.000, 0.000) [1 per cell]
Si (0.000, 0.500, 0.500) [2 per cell]
P (0.500, 0.500, 0.500) [1 per cell]
Ru (0.500, 0.500, 0.000) [1 per cell]

Computed properties:
V, Å³/cell: 88.0
Calculated total energy, eV/atom: -15.490
M_tot, μB/f.u.: 0.0
Uncorrected formation energy, eV/atom: 0.41
DOS at the Fermi energy, states/eV per cell: 3.12

Density functional theory data (SCAN) for a PBEsol-optimized structure of Ge2BiBr.

Cell lengths 7.188, 7.188, 7.188 Å; angles 90.00, 90.00, 90.00 degrees
Space group Fm-3m (No. 225)
Unique sites:
Ge (0.250, 0.250, 0.250) [8 per cell]
Bi (0.000, 0.000, 0.000) [4 per cell]
Br (0.000, 0.000, 0.500) [4 per cell]

Computed properties:
V, Å³/cell: 371.4
Calculated total energy, eV/atom: -33.768
M_tot, μB/f.u.: 0.0
Uncorrected formation energy, eV/atom: 0.29
DOS at the Fermi energy, states/eV per cell: 5.43

Density functional theory data (SCAN) for a PBEsol-optimized structure of ScAs2Se.

Cell lengths 6.743, 6.743, 6.743 Å; angles 90.00, 90.00, 90.00 degrees
Space group F-43m (No. 216)
Unique sites:
Sc (0.000, 0.000, 0.000) [4 per cell]
As (0.000, 0.000, 0.500) [4 per cell]
As (0.250, 0.250, 0.250) [4 per cell]
Se (0.250, 0.250, 0.750) [4 per cell]

Computed properties:
V, Å³/cell: 306.6
Calculated total energy, eV/atom: -18.928
M_tot, μB/f.u.: 0.0
Uncorrected formation energy, eV/atom: -0.25
DOS at the Fermi energy, states/eV per cell: 20.53

Density functional theory data (SCAN) for a PBEsol-optimized structure of In4Hg.

Cell lengths 10.258, 10.258, 10.258 Å; angles 90.00, 90.00, 90.00 degrees
Space group I-43m (No. 217)
Unique sites:
In (0.000, 0.000, 0.331) [12 per cell]
In (0.000, 0.250, 0.500) [12 per cell]
In (0.178, 0.178, 0.178) [8 per cell]
Hg (0.163, 0.163, 0.837) [8 per cell]

Computed properties:
V, Å³/cell: 1079.4
Calculated total energy, eV/atom: -40.245
Energy of formation from the pure elements, eV per formula unit: 0.49
M_tot, μB/f.u.: 0.0
DOS at the Fermi energy, states/eV per cell: 18.79

Density functional theory data (SCAN) for a PBEsol-optimized structure of LiAlIr.

Cell lengths 3.071, 3.071, 8.150 Å; angles 90.00, 90.00, 90.00 degrees
Space group I4mm (No. 107)
Unique sites:
Li (0.000, 0.000, 0.000) [2 per cell]
Al (0.000, 0.000, 0.679) [2 per cell]
Ir (0.000, 0.000, 0.339) [2 per cell]

Computed properties:
V, Å³/cell: 76.9
Calculated total energy, eV/atom: -27.780
Energy of formation from the pure elements, eV per formula unit: -2.10
M_tot, μB/f.u.: 0.0
DOS at the Fermi energy, states/eV per cell: 1.39

Density functional theory data (SCAN) for a PBEsol-optimized structure of TiW3Cl.

Cell lengths 4.362, 4.362, 4.362 Å; angles 90.00, 90.00, 90.00 degrees
Space group Pm-3m (No. 221)
Unique sites:
Ti (0.000, 0.000, 0.000) [1 per cell]
W (0.000, 0.500, 0.500) [3 per cell]
Cl (0.500, 0.500, 0.500) [1 per cell]

Computed properties:
V, Å³/cell: 83.0
Calculated total energy, eV/atom: -45.142
M_tot, μB/f.u.: 0.0
Uncorrected formation energy, eV/atom: 1.47
DOS at the Fermi energy, states/eV per cell: 6.68

Density functional theory data (SCAN) for a PBEsol-optimized structure of SiIr2Pb.

Cell lengths 4.642, 4.642, 2.984 Å; angles 90.00, 90.00, 90.00 degrees
Space group P4/mmm (No. 123)
Unique sites:
Si (0.000, 0.000, 0.000) [1 per cell]
Ir (0.000, 0.500, 0.500) [2 per cell]
Pb (0.500, 0.500, 0.000) [1 per cell]

Computed properties:
V, Å³/cell: 64.3
Calculated total energy, eV/atom: -56.465
M_tot, μB/f.u.: 0.0
Uncorrected formation energy, eV/atom: 0.53
DOS at the Fermi energy, states/eV per cell: 2.42

Density functional theory data (SCAN) for a PBEsol-optimized structure of Tc2TeRh2.

Cell lengths 3.498, 3.498, 13.397 Å; angles 90.00, 90.00, 90.00 degrees
Space group I4/mmm (No. 139)
Unique sites:
Tc (0.000, 0.500, 0.250) [4 per cell]
Te (0.000, 0.000, 0.000) [2 per cell]
Rh (0.000, 0.000, 0.398) [4 per cell]

Computed properties:
V, Å³/cell: 163.9
Calculated total energy, eV/atom: -34.779
M_tot, μB/f.u.: 0.0
Uncorrected formation energy, eV/atom: 0.20
DOS at the Fermi energy, states/eV per cell: 9.70

Density functional theory data (SCAN) for a PBEsol-optimized structure of LiRu2.

Cell lengths 4.1537, 4.1537, 4.9374 Å; angles 90.00, 90.00, 120.00 degrees
Space group P6_3/mmc (No. 194)
Unique sites:
Li (0.3333, 0.6667, 0.2500) [2 per cell]
Ru (0.0000, 0.0000, 0.0000) [2 per cell]
Ru (0.3333, 0.6667, 0.7500) [2 per cell]

Computed properties:
V, Å³/cell: 73.8
Calculated total energy, eV/atom: -23.590
Energy of formation from the pure elements, eV per formula unit: 1.27
M_tot, μB/f.u.: 1.1
DOS at the Fermi energy, states/eV per cell: 6.03

Density functional theory data (SCAN) for a PBEsol-optimized structure of CsAlSnW2.

Cell lengths 4.988, 4.988, 5.286 Å; angles 90.00, 90.00, 90.00 degrees
Space group P4/mmm (No. 123)
Unique sites:
Cs (0.000, 0.000, 0.000) [1 per cell]
Al (0.000, 0.000, 0.500) [1 per cell]
Sn (0.500, 0.500, 0.500) [1 per cell]
W (0.000, 0.500, 0.000) [2 per cell]

Computed properties:
V, Å³/cell: 131.5
Calculated total energy, eV/atom: -40.558
Energy of formation from the pure elements, eV per formula unit: 18.07
M_tot, μB/f.u.: 3.0
DOS at the Fermi energy, states/eV per cell: 4.99

Density functional theory data (SCAN) for a PBEsol-optimized structure of TaAlAg3.

Cell lengths 5.067, 5.067, 5.067 Å; angles 90.00, 90.00, 90.00 degrees
Space group Pm-3m (No. 221)
Unique sites:
Ta (0.000, 0.000, 0.000) [1 per cell]
Al (0.500, 0.500, 0.500) [1 per cell]
Ag (0.000, 0.000, 0.500) [3 per cell]

Computed properties:
V, Å³/cell: 130.1
Calculated total energy, eV/atom: -32.034
Energy of formation from the pure elements, eV per formula unit: 8.27
M_tot, μB/f.u.: 0.0
DOS at the Fermi energy, states/eV per cell: 3.71

Density functional theory data (SCAN) for a PBEsol-optimized structure of Ba3CrIn.

Cell lengths 6.548, 6.548, 6.548 Å; angles 90.00, 90.00, 90.00 degrees
Space group Pm-3m (No. 221)
Unique sites:
Ba (0.000, 0.000, 0.500) [3 per cell]
Cr (0.500, 0.500, 0.500) [1 per cell]
In (0.000, 0.000, 0.000) [1 per cell]

Computed properties:
V, Å³/cell: 280.7
Calculated total energy, eV/atom: -33.739
Energy of formation from the pure elements, eV per formula unit: 1.73
M_tot, μB/f.u.: 5.7
DOS at the Fermi energy, states/eV per cell: 6.75

- Which of these has the highest DOS at the Fermi energy?
  ScAs2Se

- Look up the M_tot of the sixth one.
  0.0 μB/f.u.